Compound: KTlWF6
Source: Alexandria
Functional: PBE with a Hubbard U
Structure: relaxed

Calculated values
Volume ... 370 Å³/cell
Theoretical density ... 4.9 g cm⁻³
M_tot ... 0.222 μB/atom
Final energy ... -90.9 eV per cell

a b c (Å): 6.5231 6.5231 10.0373
angles (deg): 90.00 90.00 120.00
Last column: nearest neighbours and their distance in Å.
Space group P-31c (No. 163)
Asymmetric unit:
K  0.3333  0.6667  0.2500  6 F 2.71
Tl  0.0000  0.0000  0.0000  6 F 2.83
W  0.3333  0.6667  0.7500  6 F 2.02
F  0.0764  0.4126  0.6355  1 W 2.02